1.
VASP calculation (PBE) on a relaxed structure of CdHPb.

a b c (Å): 3.5210 3.5221 12.2485
angles (deg): 83.85 95.83 122.21
Fractional positions:
H 0.3192 0.8048 0.2957
H 0.9509 0.1776 0.1398
Cd 0.6830 0.4354 0.5029
Cd 0.9947 0.1304 0.2952
Pb 0.8811 0.2315 0.9704
Pb 0.4090 0.6961 0.7187

Space group: P1 (1)
DOS(E_F), states/eV/cell: 1.00
Offset from the most stable computed form, kJ per mole of atoms: 10.39
Raw total energy, Ry per atom: -0.1782
V, Å³/atom: 21.27

---

2.
VASP calculation (PBE) on a relaxed structure of Cd2HPb.

a b c (Å): 5.3848 5.3848 7.3735
angles (deg): 68.58 68.58 90.00
Fractional positions:
Cd 0.8750 0.7134 0.7500
Cd 0.3750 0.5366 0.7500
Cd 0.2866 0.6250 0.2500
Cd 0.4634 0.1250 0.2500
Pb 0.0000 0.0000 0.0000
Pb 0.7500 0.2500 0.5000
H 0.5000 0.5000 0.0000
H 0.2500 0.7500 0.5000

Space group: I-42d (122)
DOS(E_F), states/eV/cell: 2.67
Offset from the most stable computed form, kJ per mole of atoms: 0.00
Raw total energy, Ry per atom: -0.1412
V, Å³/atom: 22.89

---

3.
VASP calculation (PBE) on a relaxed structure of Cd3HPb.

a b c (Å): 4.7227 4.7227 4.7227
angles (deg): 90.00 90.00 90.00
Fractional positions:
H 0.0000 0.0000 0.0000
Cd 0.5000 0.0000 0.0000
Cd 0.0000 0.0000 0.5000
Cd 0.0000 0.5000 0.0000
Pb 0.5000 0.5000 0.5000

Space group: Pm-3m (221)
DOS(E_F), states/eV/cell: 2.32
Raw total energy, Ry per atom: -0.1246
V, Å³/atom: 21.07